# 1
Here is a relaxed Zn2InAu crystal from Alexandria via LeMat-Bulk. Energies are from GGA-PBE.

Cell: 4.790 4.790 4.792 Å, 79.67 79.67 44.70°
Positions (direct):
1 Zn 0.510 0.510 0.463
2 Zn 0.990 0.990 0.037
3 Au 0.250 0.250 0.250
4 In 0.750 0.750 0.750

Computed properties:
Formation energy from the elements (eV per atom): -0.06

=====

# 2
Here is a relaxed Hf2AlAgCl crystal from Alexandria via LeMat-Bulk. Energies are from GGA-PBE.

Cell: 5.250 4.734 5.250 Å, 90.00 90.00 90.00°
Positions (direct):
1 Al 0.500 0.500 0.500
2 Hf 0.500 0.000 0.000
3 Hf 0.000 0.000 0.500
4 Ag 0.000 0.000 0.000
5 Cl 0.000 0.500 0.000

Computed properties:
Raw formation energy (eV/atom): 1.1147

=====

# 3
Here is a relaxed NdIr5 crystal from Alexandria via LeMat-Bulk. Energies are from GGA-PBE.

Cell: 5.354 5.354 4.330 Å, 90.00 90.00 120.00°
Positions (direct):
1 Ir 0.500 0.000 0.500
2 Ir 0.333 0.667 0.000
3 Ir 0.667 0.333 0.000
4 Ir 0.500 0.500 0.500
5 Ir 0.000 0.500 0.500
6 Nd 0.000 0.000 0.000

Computed properties:
Formation energy from the elements (eV per atom): -0.26

=====

# 4
Here is a relaxed Ba3Al2Cd9 crystal from Alexandria via LeMat-Bulk. Energies are from GGA-PBE.

Cell: 4.922 9.428 9.428 Å, 71.85 74.87 74.87°
Positions (direct):
1 Cd 0.665 0.977 0.694
2 Cd 0.125 0.160 0.590
3 Cd 0.875 0.840 0.410
4 Cd 0.000 0.500 0.500
5 Cd 0.335 0.023 0.306
6 Cd 0.125 0.590 0.160
7 Cd 0.335 0.306 0.023
8 Cd 0.875 0.410 0.840
9 Cd 0.665 0.694 0.977
10 Ba 0.000 0.000 0.000
11 Ba 0.306 0.694 0.694
12 Ba 0.694 0.306 0.306
13 Al 0.500 0.290 0.710
14 Al 0.500 0.710 0.290

Computed properties:
Formation energy from the elements (eV per atom): -0.22

=====

# 5
Here is a relaxed Ta2SnBiCl crystal from Alexandria via LeMat-Bulk. Energies are from GGA-PBE.

Cell: 5.339 5.339 6.146 Å, 90.00 90.00 90.00°
Positions (direct):
1 Cl 0.500 0.500 0.500
2 Ta 0.500 0.000 0.000
3 Ta 0.000 0.500 0.000
4 Bi 0.000 0.000 0.000
5 Sn 0.000 0.000 0.500

Computed properties:
Raw formation energy (eV/atom): 1.9671
Polymorph energy (0 for the lowest one) (eV per formula unit): 0.804

=====

# 6
Here is a relaxed CaAg2Au9 crystal from Alexandria via LeMat-Bulk. Energies are from GGA-PBE.

Cell: 5.517 5.517 9.826 Å, 73.70 73.70 60.00°
Positions (direct):
1 Au 0.413 0.413 0.257
2 Au 0.500 0.500 0.500
3 Au 0.587 0.082 0.743
4 Au 0.333 0.333 0.000
5 Au 0.587 0.587 0.743
6 Au 0.082 0.587 0.743
7 Au 0.667 0.667 0.000
8 Au 0.413 0.918 0.257
9 Au 0.918 0.413 0.257
10 Ag 0.153 0.153 0.541
11 Ag 0.847 0.847 0.459
12 Ca 0.000 0.000 0.000

Computed properties:
Formation energy from the elements (eV per atom): -0.18

=====

# 7
Here is a relaxed PmDy8Ho4 crystal from Alexandria via LeMat-Bulk. Energies are from GGA-PBE.

Cell: 7.272 7.272 9.960 Å, 90.00 111.41 120.00°
Positions (direct):
1 Dy 0.499 0.250 0.304
2 Dy 0.946 0.195 0.696
3 Dy 0.054 0.805 0.304
4 Dy 0.564 0.782 0.347
5 Dy 0.436 0.218 0.653
6 Dy 0.946 0.750 0.696
7 Dy 0.501 0.750 0.696
8 Dy 0.054 0.250 0.304
9 Ho 0.000 0.500 0.000
10 Ho 0.500 0.500 0.000
11 Ho 0.500 0.000 0.000
12 Ho 0.000 0.000 0.000
13 Pm 0.000 0.500 0.500

Computed properties:
Formation energy from the elements (eV per atom): 0.20

=====

# 8
Here is a relaxed Rb3Li2ScCl8 crystal from Alexandria via LeMat-Bulk. Energies are from GGA-PBE.

Cell: 7.199 7.199 9.349 Å, 90.00 90.00 120.00°
Positions (direct):
1 Cl 0.324 0.162 0.658
2 Cl 0.162 0.838 0.342
3 Cl 0.838 0.676 0.658
4 Cl 0.162 0.324 0.342
5 Cl 0.838 0.162 0.658
6 Cl 0.676 0.838 0.342
7 Cl 0.333 0.667 0.977
8 Cl 0.667 0.333 0.023
9 Rb 0.000 0.000 0.000
10 Rb 0.667 0.333 0.353
11 Rb 0.333 0.667 0.647
12 Li 0.333 0.667 0.213
13 Li 0.667 0.333 0.787
14 Sc 0.000 0.000 0.500

Computed properties:
Raw formation energy (eV/atom): -1.9422

=====

# 9
Here is a relaxed TiSnS2 crystal from Alexandria via LeMat-Bulk. Energies are from GGA-PBE.

Cell: 6.567 8.471 7.321 Å, 90.00 90.00 90.00°
Positions (direct):
1 S 0.521 0.034 0.752
2 S 0.979 0.534 0.252
3 S 0.978 0.120 0.051
4 S 0.478 0.380 0.051
5 S 0.479 0.966 0.252
6 S 0.021 0.466 0.752
7 S 0.522 0.620 0.551
8 S 0.022 0.880 0.551
9 Ti 0.873 0.627 0.535
10 Ti 0.127 0.373 0.035
11 Ti 0.627 0.127 0.035
12 Ti 0.373 0.873 0.535
13 Sn 0.462 0.261 0.412
14 Sn 0.962 0.239 0.412
15 Sn 0.038 0.761 0.912
16 Sn 0.538 0.739 0.912

Computed properties:
Raw formation energy (eV/atom): -0.7140

=====

# 10
Here is a relaxed SrLiPdF6 crystal from Alexandria via LeMat-Bulk. Energies are from GGA-PBE.

Cell: 5.308 5.366 5.366 Å, 120.00 90.00 90.00°
Positions (direct):
1 F 0.284 0.974 0.668
2 F 0.284 0.332 0.305
3 F 0.716 0.974 0.305
4 F 0.284 0.695 0.026
5 F 0.716 0.695 0.668
6 F 0.716 0.332 0.026
7 Li 0.500 0.667 0.333
8 Sr 0.000 0.333 0.667
9 Pd 0.500 0.000 0.000

Computed properties:
Raw formation energy (eV/atom): -2.5215

=====

# 11
Here is a relaxed Y2CuRh crystal from Alexandria via LeMat-Bulk. Energies are from GGA-PBE.

Cell: 3.432 3.473 7.799 Å, 63.67 90.00 90.00°
Positions (direct):
1 Y 0.000 0.005 0.995
2 Y 0.000 0.495 0.505
3 Cu 0.500 0.250 0.250
4 Rh 0.500 0.750 0.750

Computed properties:
Formation energy from the elements (eV per atom): -0.54

=====

# 12
Here is a relaxed Ti2NbSn2 crystal from Alexandria via LeMat-Bulk. Energies are from GGA-PBE.

Cell: 4.730 4.898 8.558 Å, 90.00 106.04 90.00°
Positions (direct):
1 Sn 0.258 0.027 0.516
2 Sn 0.052 0.027 0.105
3 Sn 0.948 0.527 0.895
4 Sn 0.742 0.527 0.484
5 Ti 0.849 0.027 0.698
6 Ti 0.650 0.027 0.299
7 Ti 0.350 0.527 0.701
8 Ti 0.151 0.527 0.302
9 Nb 0.441 0.027 0.881
10 Nb 0.559 0.527 0.119

Computed properties:
Formation energy from the elements (eV per atom): -0.18
Polymorph energy (0 for the lowest one) (eV per formula unit): 0.045

=====

The magnetic moment results, record by record, are as follows: 0.000; 0.000; 0.000; 0.000; 3.866; 0.000; 0.000; 0.000; 0.000; 1.000; 0.000; 0.000 μB/f.u..